{
  "formula": "LiCo2Pb2",
  "functional": "PBE-GGA",
  "state": "optimized geometry",
  "cell": [[7.255, 0.000, 0.000], [0.000, 7.255, 0.000], [0.000, 0.000, 3.320]],
  "species": ["Li", "Li", "Co", "Co", "Co", "Co", "Pb", "Pb", "Pb", "Pb"],
  "fractional_positions": [[0.000, 0.000, 0.000], [0.500, 0.500, 0.000], [0.127, 0.373, 0.000], [0.373, 0.873, 0.000], [0.627, 0.127, 0.000], [0.873, 0.627, 0.000], [0.170, 0.670, 0.500], [0.330, 0.170, 0.500], [0.670, 0.830, 0.500], [0.830, 0.330, 0.500]],
  "polymorph_energy_mev_per_atom": 74.5,
  "sg": "P4/mbm (127)",
  "ef_ev_per_atom": 0.265
}